VASP calculation (PBE-GGA) on Pr8Ga3TeI4 after structural relaxation.

abc: 9.2207 9.2207 9.2207
angles: 58.08 58.08 58.08
Fractional positions:
1 Pr 0.2192 0.7450 0.7450
2 Pr 0.2351 0.2351 0.2351
3 Pr 0.2550 0.2550 0.7808
4 Pr 0.2550 0.7808 0.2550
5 Pr 0.7450 0.2192 0.7450
6 Pr 0.7450 0.7450 0.2192
7 Pr 0.7649 0.7649 0.7649
8 Pr 0.7808 0.2550 0.2550
9 Ga 0.0000 0.0000 0.5000
10 Ga 0.0000 0.5000 0.0000
11 Ga 0.5000 0.0000 0.0000
12 Te 0.5000 0.5000 0.5000
13 I 0.0000 0.0000 0.0000
14 I 0.0000 0.5000 0.5000
15 I 0.5000 0.0000 0.5000
16 I 0.5000 0.5000 0.0000

Computed properties:
N(E_F)   7.81 states/eV/f.u.
Energy relative to the elements, uncorrected   -87 kJ per mole of atoms
Space-group type   No. 166